Entry 1:
First-principles (PBE) data for a relaxed SrSc2Au crystal, as listed in Alexandria.

abc: 3.496 3.496 9.132
angles: 90.00 90.00 90.00
Sites, in units of the cell vectors:
Sr1 0.000 0.000 0.000
Sc1 0.500 0.500 0.327
Sc2 0.500 0.500 0.673
Au1 0.000 0.000 0.500

Summary:
SG: No. 123
Total moment (Bohr magnetons per cell): 0.00
Energy of formation from the pure elements (eV/atom): -0.20
Total DFT energy (no corrections) (Ry per atom): -0.339
Calculated volume (A^3/atom): 27.897
Relative energy among the computed polymorphs (meV per atom): 69.3
DOS(E_F) (states/eV/f.u.): 5.330

Entry 2:
First-principles (PBE) data for a relaxed SrSc2Au crystal, as listed in Alexandria.

abc: 7.423 7.423 7.423
angles: 90.00 90.00 90.00
Sites, in units of the cell vectors:
Sr1 0.000 0.000 0.000
Sr2 0.000 0.500 0.500
Sr3 0.500 0.000 0.500
Sr4 0.500 0.500 0.000
Sc1 0.000 0.000 0.500
Sc2 0.000 0.500 0.000
Sc3 0.250 0.250 0.250
Sc4 0.250 0.750 0.750
Sc5 0.500 0.000 0.000
Sc6 0.500 0.500 0.500
Sc7 0.750 0.250 0.750
Sc8 0.750 0.750 0.250
Au1 0.250 0.250 0.750
Au2 0.250 0.750 0.250
Au3 0.750 0.250 0.250
Au4 0.750 0.750 0.750

Summary:
SG: No. 216
Total moment (Bohr magnetons per cell): 3.58
Energy of formation from the pure elements (eV/atom): 0.04
Total DFT energy (no corrections) (Ry per atom): -0.321
Calculated volume (A^3/atom): 25.568
Relative energy among the computed polymorphs (meV per atom): 313.5
DOS(E_F) (states/eV/f.u.): 6.606

Entry 3:
First-principles (PBE) data for a relaxed SrSc2Au crystal, as listed in Alexandria.

abc: 4.407 4.407 10.858
angles: 90.00 90.00 90.00
Sites, in units of the cell vectors:
Sr1 0.000 0.000 0.000
Sr2 0.500 0.500 0.500
Sc1 0.000 0.500 0.250
Sc2 0.000 0.500 0.750
Sc3 0.500 0.000 0.250
Sc4 0.500 0.000 0.750
Au1 0.000 0.000 0.500
Au2 0.500 0.500 0.000

Summary:
SG: No. 139
Total moment (Bohr magnetons per cell): 3.13
Energy of formation from the pure elements (eV/atom): 0.00
Total DFT energy (no corrections) (Ry per atom): -0.324
Calculated volume (A^3/atom): 26.357
Relative energy among the computed polymorphs (meV per atom): 275.0
DOS(E_F) (states/eV/f.u.): 6.288

Entry 4:
First-principles (PBE) data for a relaxed SrSc2Au crystal, as listed in Alexandria.

abc: 3.641 3.641 31.594
angles: 90.00 90.00 120.00
Sites, in units of the cell vectors:
Sr1 0.000 0.000 0.000
Sr2 0.333 0.667 0.667
Sr3 0.667 0.333 0.333
Sc1 0.000 0.000 0.109
Sc2 0.000 0.000 0.891
Sc3 0.333 0.667 0.558
Sc4 0.333 0.667 0.776
Sc5 0.667 0.333 0.224
Sc6 0.667 0.333 0.442
Au1 0.000 0.000 0.500
Au2 0.333 0.667 0.167
Au3 0.667 0.333 0.833

Summary:
SG: No. 166
Total moment (Bohr magnetons per cell): 0.00
Energy of formation from the pure elements (eV/atom): 0.02
Total DFT energy (no corrections) (Ry per atom): -0.323
Calculated volume (A^3/atom): 30.230
Relative energy among the computed polymorphs (meV per atom): 287.6
DOS(E_F) (states/eV/f.u.): 5.150

> Which of these has the lowest relative energy among the computed polymorphs?

number 1

> Which of these has the highest total DFT energy (no corrections)?

number 2